(1)
Density functional theory data (PBE) for ZrFeCu after structural relaxation.

Cell: 4.8657 4.8657 4.8657 Å, 140.50 140.54 57.06°
Element x y z (fractional)
Zr (0.6704, 0.6704, 0.0000)
Fe (0.3414, 0.3414, 0.0000)
Cu (0.9882, 0.9882, 0.0000)

## Properties
The energy of formation from the pure elements is 2 meV per atom.


(2)
Density functional theory data (PBE) for SrNb3O7 after structural relaxation.

Cell: 3.8632 6.9129 6.9129 Å, 122.47 90.00 90.00°
Element x y z (fractional)
O (0.0000, 0.6372, 0.9004)
O (0.5000, 0.0000, 0.0000)
O (0.0000, 0.9004, 0.6372)
O (0.0000, 0.0996, 0.3628)
O (0.0000, 0.3628, 0.0996)
O (0.5000, 0.2771, 0.7229)
O (0.5000, 0.7229, 0.2771)
Nb (0.0000, 0.7646, 0.2354)
Nb (0.0000, 0.0000, 0.0000)
Nb (0.0000, 0.2354, 0.7646)
Sr (0.0000, 0.5000, 0.5000)

## Properties
Its electronic total energy is -8.422 eV per atom.


Number 1: magnetization 1.63 μB/f.u.. Number 2: magnetization 0.00 μB/f.u..